Entry 1:
Er4Sb: relaxed, PBE.

Its uncorrected formation energy is 146.4 meV per atom.

The structure belongs to space group Pm-3m (No. 221); the cell edges are 5.6650, 5.6650 and 5.6650 Å and the angles 90.00°, 90.00° and 90.00°. The inequivalent atoms are Er at (0.0000, 0.0000, 0.0000), Er at (0.0000, 0.5000, 0.5000) and Sb at (0.5000, 0.5000, 0.5000).

Entry 2:
RbGa4Au4: relaxed, PBE.

The formation energy comes out at -0.318 eV per atom.

The structure belongs to space group I4/m (No. 87); the cell edges are 9.1037, 9.1037 and 4.8859 Å and the angles 90.00°, 90.00° and 90.00°. The inequivalent atoms are Rb at (0.0000, 0.0000, 0.0000), Ga at (0.1085, 0.3850, 0.5000) and Au at (0.1722, 0.6916, 0.5000).

Entry 3:
Si2SnRhO: relaxed, PBE.

Its uncorrected formation energy is -718.1 meV per atom.

The structure belongs to space group Pm (No. 6); the cell edges are 4.6898, 4.2840 and 4.8423 Å and the angles 90.00°, 118.35° and 90.00°. The inequivalent atoms are Si at (0.0000, 0.0000, 0.0000), Si at (0.3301, 0.0000, 0.5759), Sn at (0.5875, 0.5000, 0.0081), Rh at (0.2322, 0.5000, 0.3045) and O at (0.0208, 0.0000, 0.6680).

What is the formula in the second record? RbGa4Au4